## V3GaTc (PBE)

Data for crystalline V3GaTc at its relaxed geometry.

a = 14.906 Å, b = 3.033 Å, c = 6.751 Å
α = 90.00°, β = 106.73°, γ = 90.00°
Space group C2/m (No. 12)
Asymmetric unit:
V1 0.045 0.000 0.231 x4
V2 0.184 0.500 0.400 x4
V3 0.225 0.000 0.128 x4
Ga1 0.127 0.000 0.659 x4
Tc1 0.090 0.500 0.950 x4

The energy above the lowest structure with this stoichiometry comes out at 0 meV/atom. The value obtained for the total energy is -164.490 eV per cell. The density of states at the Fermi level comes out at 1.16 states/eV per atom. For the formation energy, the calculation gives -0.07 eV per atom.